BaAl2Te | Alexandria via LeMat-Bulk | SCAN | single point on PBEsol structure; size of the total moment = 0.002 μB/f.u.; D(E_F) = 0.527 states/eV per atom; energy relative to the elements, uncorrected = -0.531 eV/f.u.
1.0
6.641 0.000 0.000
3.321 6.085 0.000
3.321 0.000 6.085
Ba Al Te
2 4 2
Direct
0.000 0.000 0.000
0.750 0.500 0.500
0.169 0.956 0.456
0.375 0.456 0.044
0.875 0.544 0.956
0.581 0.044 0.544
0.250 0.500 0.500
0.500 0.000 0.000